# 1
# BaHoPt10 (GGA-PBE, relaxed)
# Calculated volume (Å³/cell): 229.7
# Energy relative to the elements (eV per formula unit): -7.05
data_BaHoPt10
_cell_length_a 4.4233
_cell_length_b 5.4868
_cell_length_c 9.4662
_cell_angle_alpha 90.00
_cell_angle_beta 90.00
_cell_angle_gamma 90.00
_symmetry_space_group_name_H-M 'P m m m'
_symmetry_Int_Tables_number 47
loop_
_symmetry_equiv_pos_as_xyz
'x,y,z'
'-x,-y,-z'
'-x,-y,z'
'x,y,-z'
'x,-y,-z'
'-x,y,z'
'-x,y,-z'
'x,-y,z'
loop_
_atom_site_label
_atom_site_fract_x
_atom_site_fract_y
_atom_site_fract_z
Ba1 0.0000 0.0000 0.0000
Ho1 0.0000 0.5000 0.5000
Pt1 0.0000 0.0000 0.3422
Pt2 0.0000 0.5000 0.1806
Pt3 0.5000 0.0000 0.5000
Pt4 0.5000 0.2542 0.2589
Pt5 0.5000 0.5000 0.0000

# 2
# BaHo2Pt9 (GGA-PBE, relaxed)
# Calculated volume (Å³/cell): 694.7
# Energy relative to the elements (eV per formula unit): -10.10
data_BaHo2Pt9
_cell_length_a 5.5156
_cell_length_b 5.5156
_cell_length_c 26.3673
_cell_angle_alpha 90.00
_cell_angle_beta 90.00
_cell_angle_gamma 120.00
_symmetry_space_group_name_H-M 'R -3 m'
_symmetry_Int_Tables_number 166
_symmetry_space_group_name_Hall '-R 3 2"'
loop_
_atom_site_label
_atom_site_fract_x
_atom_site_fract_y
_atom_site_fract_z
Ba1 0.0000 0.0000 0.0000
Ho1 0.0000 0.0000 0.1410
Pt1 0.0000 0.0000 0.3320
Pt2 0.0000 0.0000 0.5000
Pt3 0.0053 0.5026 0.9132

# 3
# BaHoZn2Pt2 (GGA-PBE, relaxed)
# Calculated volume (Å³/cell): 139.8
# Energy relative to the elements (eV per formula unit): -4.84
data_BaHoZn2Pt2
_cell_length_a 4.5279
_cell_length_b 4.5279
_cell_length_c 7.8750
_cell_angle_alpha 90.00
_cell_angle_beta 90.00
_cell_angle_gamma 120.00
_symmetry_space_group_name_H-M 'P -3 m 1'
_symmetry_Int_Tables_number 164
_symmetry_space_group_name_Hall '-P 3 2"'
loop_
_atom_site_label
_atom_site_fract_x
_atom_site_fract_y
_atom_site_fract_z
Ba1 0.0000 0.0000 0.0000
Ho1 0.0000 0.0000 0.5000
Zn1 0.3333 0.6667 0.6952
Pt1 0.3333 0.6667 0.3136